Model 1:
Entry from Alexandria via LeMat-Bulk: a relaxed structure of ZnSbN2F (PBE).

## Properties
Its space group is P4/mmm. The calculation puts the magnetization at 0.00 μB per formula unit. The calculation puts the volume at 12.4 Å³ per atom.

```
ZnSbN2F
1.0
3.951 0.000 0.000
0.000 3.951 0.000
0.000 0.000 3.980
Zn Sb N F
1 1 2 1
Cartesian
0.000 0.000 0.000
1.975 1.975 1.990
0.000 1.975 0.000
1.975 0.000 0.000
0.000 0.000 1.990
```

---

Model 2:
Entry from Alexandria via LeMat-Bulk: a relaxed structure of ZnSbN2F (PBE).

## Properties
Its space group is P4/mmm. The calculation puts the magnetization at 0.00 μB per formula unit. The calculation puts the volume at 13.6 Å³ per atom.

```
ZnSbN2F
1.0
4.071 0.000 0.000
0.000 4.071 0.000
0.000 0.000 4.100
Zn Sb N F
1 1 2 1
Cartesian
0.000 0.000 0.000
2.035 2.035 2.050
0.000 2.035 2.050
2.035 0.000 2.050
2.035 2.035 0.000
```

---

Most stable structure, least stable structure: model 2, model 1.